DFT (PBE-GGA) results for an optimized crystal structure of PaMoAs2.

abc: 3.2935 3.2935 6.8008
angles: 90.00 90.00 90.00
Space group P4/mmm (No. 123)
Unique sites:
Pa1 0.0000 0.0000 0.0000 [1 per cell]
Mo1 0.0000 0.0000 0.5000 [1 per cell]
As1 0.5000 0.5000 0.2840 [2 per cell]

Calculated values
D(E_F) (states/eV/cell): 5.5
Total magnetic moment (μB per formula unit): 0.480
Total energy (eV/atom): -7.715
Relative energy among the computed polymorphs (kJ/mol of atoms): 15.1
Calculated volume (Å³ per cell): 74



DFT (PBE-GGA) results for an optimized crystal structure of Pa2MoAs.

abc: 3.6984 3.6984 6.1772
angles: 90.00 90.00 90.00
Space group P4/mmm (No. 123)
Unique sites:
Pa1 0.0000 0.0000 0.2384 [2 per cell]
Mo1 0.5000 0.5000 0.5000 [1 per cell]
As1 0.5000 0.5000 0.0000 [1 per cell]

Calculated values
D(E_F) (states/eV/cell): 4.7
Total magnetic moment (μB per formula unit): 0.000
Total energy (eV/atom): -8.967
Relative energy among the computed polymorphs (kJ/mol of atoms): 0.0
Calculated volume (Å³ per cell): 84



DFT (PBE-GGA) results for an optimized crystal structure of PaMoAs2.

abc: 6.6787 6.6787 6.6787
angles: 90.00 90.00 90.00
Space group Fm-3m (No. 225)
Unique sites:
Pa1 0.0000 0.0000 0.0000 [4 per cell]
Mo1 0.0000 0.0000 0.5000 [4 per cell]
As1 0.2500 0.2500 0.2500 [8 per cell]

Calculated values
D(E_F) (states/eV/cell): 12.9
Total magnetic moment (μB per formula unit): 0.001
Total energy (eV/atom): -7.872
Relative energy among the computed polymorphs (kJ/mol of atoms): 0.0
Calculated volume (Å³ per cell): 298



DFT (PBE-GGA) results for an optimized crystal structure of PaMoAs2.

abc: 2.9950 2.9950 30.3901
angles: 90.00 90.00 120.00
Space group R-3m (No. 166, hexagonal axes)
Unique sites:
Pa1 0.0000 0.0000 0.0000 [3 per cell]
Mo1 0.0000 0.0000 0.5000 [3 per cell]
As1 0.0000 0.0000 0.4155 [6 per cell]

Calculated values
D(E_F) (states/eV/cell): 16.4
Total magnetic moment (μB per formula unit): 0.001
Total energy (eV/atom): -7.163
Relative energy among the computed polymorphs (kJ/mol of atoms): 68.4
Calculated volume (Å³ per cell): 236



DFT (PBE-GGA) results for an optimized crystal structure of Pa2MoAs.

abc: 4.5743 4.5743 14.7748
angles: 90.00 90.00 120.00
Space group R-3m (No. 166, hexagonal axes)
Unique sites:
Pa1 0.0000 0.0000 0.2449 [6 per cell]
Mo1 0.0000 0.0000 0.5000 [3 per cell]
As1 0.0000 0.0000 0.0000 [3 per cell]

Calculated values
D(E_F) (states/eV/cell): 17.3
Total magnetic moment (μB per formula unit): 0.000
Total energy (eV/atom): -8.690
Relative energy among the computed polymorphs (kJ/mol of atoms): 26.7
Calculated volume (Å³ per cell): 268



DFT (PBE-GGA) results for an optimized crystal structure of PaMoAs2.

abc: 3.3765 3.4286 6.9126
angles: 75.70 89.91 90.00
Space group P1 (No. 1)
Unique sites:
Pa1 0.0000 0.0000 0.0000 [1 per cell]
Mo1 0.9984 0.2406 0.5225 [1 per cell]
As1 0.4982 0.6552 0.6932 [1 per cell]
As2 0.4993 0.3808 0.2392 [1 per cell]

Calculated values
D(E_F) (states/eV/cell): 4.1
Total magnetic moment (μB per formula unit): 0.000
Total energy (eV/atom): -7.837
Relative energy among the computed polymorphs (kJ/mol of atoms): 3.3
Calculated volume (Å³ per cell): 78



DFT (PBE-GGA) results for an optimized crystal structure of Pa2MoAs.

abc: 4.3892 4.3892 4.2136
angles: 90.00 90.00 90.00
Space group P4/mmm (No. 123)
Unique sites:
Pa1 0.0000 0.5000 0.0000 [2 per cell]
Mo1 0.0000 0.0000 0.5000 [1 per cell]
As1 0.5000 0.5000 0.5000 [1 per cell]

Calculated values
D(E_F) (states/eV/cell): 5.7
Total magnetic moment (μB per formula unit): 0.000
Total energy (eV/atom): -8.894
Relative energy among the computed polymorphs (kJ/mol of atoms): 7.1
Calculated volume (Å³ per cell): 81



DFT (PBE-GGA) results for an optimized crystal structure of PaTcMoAs.

abc: 6.5713 6.5713 6.5713
angles: 90.00 90.00 90.00
Space group F-43m (No. 216)
Unique sites:
Pa1 0.0000 0.0000 0.0000 [4 per cell]
Tc1 0.2500 0.2500 0.2500 [4 per cell]
Mo1 0.2500 0.2500 0.7500 [4 per cell]
As1 0.0000 0.0000 0.5000 [4 per cell]

Calculated values
D(E_F) (states/eV/cell): 29.0
Total magnetic moment (μB per formula unit): 0.001
Total energy (eV/atom): -8.886
Calculated volume (Å³ per cell): 284



DFT (PBE-GGA) results for an optimized crystal structure of PaVMoAs.

abc: 6.5911 6.5911 6.5911
angles: 90.00 90.00 90.00
Space group F-43m (No. 216)
Unique sites:
Pa1 0.0000 0.0000 0.0000 [4 per cell]
V1 0.2500 0.2500 0.2500 [4 per cell]
Mo1 0.0000 0.0000 0.5000 [4 per cell]
As1 0.2500 0.2500 0.7500 [4 per cell]

Calculated values
D(E_F) (states/eV/cell): 18.9
Total magnetic moment (μB per formula unit): 0.002
Total energy (eV/atom): -8.395
Calculated volume (Å³ per cell): 286



DFT (PBE-GGA) results for an optimized crystal structure of MoAsPb.

abc: 3.3877 3.3877 10.5747
angles: 90.00 90.00 90.00
Space group I4mm (No. 107)
Unique sites:
Mo1 0.0000 0.0000 0.0000 [2 per cell]
As1 0.0000 0.0000 0.4039 [2 per cell]
Pb1 0.0000 0.0000 0.6929 [2 per cell]

Calculated values
D(E_F) (states/eV/cell): 5.6
Total magnetic moment (μB per formula unit): 0.000
Total energy (eV/atom): -6.218
Relative energy among the computed polymorphs (kJ/mol of atoms): 0.2
Calculated volume (Å³ per cell): 121



DFT (PBE-GGA) results for an optimized crystal structure of MoAsPb.

abc: 6.5296 6.5296 6.5296
angles: 90.00 90.00 90.00
Space group F-43m (No. 216)
Unique sites:
Mo1 0.0000 0.0000 0.0000 [4 per cell]
As1 0.2500 0.2500 0.2500 [4 per cell]
Pb1 0.2500 0.2500 0.7500 [4 per cell]

Calculated values
D(E_F) (states/eV/cell): 14.0
Total magnetic moment (μB per formula unit): 1.494
Total energy (eV/atom): -5.709
Relative energy among the computed polymorphs (kJ/mol of atoms): 49.3
Calculated volume (Å³ per cell): 278



DFT (PBE-GGA) results for an optimized crystal structure of MoAs2Pb2.

abc: 4.1982 4.1982 15.0837
angles: 90.00 90.00 90.00
Space group I4/mmm (No. 139)
Unique sites:
Mo1 0.0000 0.0000 0.0000 [2 per cell]
As1 0.0000 0.0000 0.4201 [4 per cell]
Pb1 0.0000 0.5000 0.2500 [4 per cell]

Calculated values
D(E_F) (states/eV/cell): 6.8
Total magnetic moment (μB per formula unit): 3.438
Total energy (eV/atom): -4.658
Relative energy among the computed polymorphs (kJ/mol of atoms): 62.4
Calculated volume (Å³ per cell): 266



DFT (PBE-GGA) results for an optimized crystal structure of Mo2AsPb.

abc: 3.4388 4.7973 10.0465
angles: 90.00 90.00 90.00
Space group Cmm2 (No. 35)
Unique sites:
Mo1 0.0000 0.0000 0.0000 [2 per cell]
Mo2 0.0000 0.5000 0.2019 [2 per cell]
As1 0.0000 0.5000 0.8060 [2 per cell]
Pb1 0.0000 0.0000 0.4504 [2 per cell]

Calculated values
D(E_F) (states/eV/cell): 5.1
Total magnetic moment (μB per formula unit): 0.000
Total energy (eV/atom): -7.167
Relative energy among the computed polymorphs (kJ/mol of atoms): 16.8
Calculated volume (Å³ per cell): 166



DFT (PBE-GGA) results for an optimized crystal structure of MoAsPb3.

abc: 5.4079 5.4079 5.4079
angles: 90.00 90.00 90.00
Space group Pm-3m (No. 221)
Unique sites:
Mo1 0.0000 0.0000 0.0000 [1 per cell]
As1 0.5000 0.5000 0.5000 [1 per cell]
Pb1 0.0000 0.0000 0.5000 [3 per cell]

Calculated values
D(E_F) (states/eV/cell): 3.2
Total magnetic moment (μB per formula unit): 2.909
Total energy (eV/atom): -4.603
Relative energy among the computed polymorphs (kJ/mol of atoms): 0.0
Calculated volume (Å³ per cell): 158



DFT (PBE-GGA) results for an optimized crystal structure of Mo2AsPb.

abc: 6.6297 6.6404 6.6700
angles: 90.00 90.00 90.00
Space group F222 (No. 22)
Unique sites:
Mo1 0.0000 0.0000 0.0000 [4 per cell]
Mo2 0.2500 0.2500 0.2500 [4 per cell]
As1 0.2500 0.2500 0.7500 [4 per cell]
Pb1 0.0000 0.0000 0.5000 [4 per cell]

Calculated values
D(E_F) (states/eV/cell): 6.6
Total magnetic moment (μB per formula unit): 0.000
Total energy (eV/atom): -6.887
Relative energy among the computed polymorphs (kJ/mol of atoms): 43.9
Calculated volume (Å³ per cell): 294